Record 1
Below is SrNdRh4 after structural relaxation, with properties calculated at the PBE level.

Unit cell a=7.705 b=7.705 c=7.705 alpha=90.00 beta=90.00 gamma=90.00
Space group F-43m (No. 216)
Asymmetric unit:
Sr: 0.000 0.000 0.000 [4 per cell]
Nd: 0.250 0.250 0.250 [4 per cell]
Rh: 0.125 0.125 0.625 [16 per cell]

- ΔE_f: -0.470 eV/atom
- VASP energy: -154.70 eV for the cell shown

---

Record 2
Below is MgTaIn after structural relaxation, with properties calculated at the PBE level.

Unit cell a=6.672 b=6.672 c=6.672 alpha=90.00 beta=90.00 gamma=90.00
Space group F-43m (No. 216)
Asymmetric unit:
Mg: 0.000 0.000 0.000 [4 per cell]
Ta: 0.250 0.250 0.750 [4 per cell]
In: 0.000 0.000 0.500 [4 per cell]

- ΔE_f: 0.912 eV/atom
- VASP energy: -53.79 eV for the cell shown

---

Record 3
Below is LiAl2 after structural relaxation, with properties calculated at the PBE level.

Unit cell a=6.362 b=6.362 c=4.766 alpha=90.00 beta=90.00 gamma=90.00
Space group I4/mcm (No. 140)
Asymmetric unit:
Li: 0.000 0.000 0.250 [4 per cell]
Al: 0.155 0.345 0.000 [8 per cell]

- ΔE_f: 0.080 eV/atom
- VASP energy: -36.64 eV for the cell shown

---

Record 4
Below is MgIn9Pb2 after structural relaxation, with properties calculated at the PBE level.

Unit cell a=5.738 b=7.545 c=8.286 alpha=70.29 beta=86.16 gamma=77.09
Space group P-1 (No. 2)
Asymmetric unit:
Mg: 0.000 0.000 0.000 [1 per cell]
In: 0.100 0.237 0.587 [2 per cell]
In: 0.259 0.759 0.747 [2 per cell]
In: 0.319 0.997 0.331 [2 per cell]
In: 0.416 0.236 0.921 [2 per cell]
In: 0.500 0.500 0.500 [1 per cell]
Pb: 0.162 0.509 0.168 [2 per cell]

- ΔE_f: 0.003 eV/atom
- VASP energy: -33.62 eV for the cell shown

---

Record 5
Below is LiTa2Tl after structural relaxation, with properties calculated at the PBE level.

Unit cell a=2.9695 b=2.9695 c=31.0775 alpha=90.00 beta=90.00 gamma=120.00
Space group R-3m (No. 166, hexagonal axes)
Asymmetric unit:
Li: 0.0000 0.0000 0.0000 [3 per cell]
Ta: 0.0000 0.0000 0.2498 [6 per cell]
Tl: 0.0000 0.0000 0.5000 [3 per cell]

- ΔE_f: 0.598 eV/atom
- VASP energy: -76.78 eV for the cell shown

---

Record 6
Below is Ba2MgN after structural relaxation, with properties calculated at the PBE level.

Unit cell a=3.9341 b=3.9341 c=31.9142 alpha=90.00 beta=90.00 gamma=120.00
Space group R-3m (No. 166, hexagonal axes)
Asymmetric unit:
Ba: 0.0000 0.0000 0.1188 [6 per cell]
Mg: 0.0000 0.0000 0.0000 [3 per cell]
N: 0.0000 0.0000 0.5000 [3 per cell]

- VASP energy: -42.92 eV for the cell shown
- Formation energy (no corrections): -0.14 eV/atom

---

Record 7
Below is InAg4 after structural relaxation, with properties calculated at the PBE level.

Unit cell a=3.0885 b=3.0885 c=34.9227 alpha=90.00 beta=90.00 gamma=120.00
Space group R-3m (No. 166, hexagonal axes)
Asymmetric unit:
In: 0.0000 0.0000 0.0000 [3 per cell]
Ag: 0.0000 0.0000 0.1994 [6 per cell]
Ag: 0.0000 0.0000 0.4020 [6 per cell]

- ΔE_f: 0.091 eV/atom
- VASP energy: -41.06 eV for the cell shown

---

Record 8
Below is Mo5Ir6W after structural relaxation, with properties calculated at the PBE level.

Unit cell a=3.917 b=11.732 c=7.863 alpha=90.00 beta=90.00 gamma=90.00
Space group Cmmm (No. 65)
Asymmetric unit:
Mo: 0.000 0.000 0.000 [2 per cell]
Mo: 0.000 0.333 0.500 [4 per cell]
Mo: 0.000 0.334 0.000 [4 per cell]
Ir: 0.000 0.167 0.250 [8 per cell]
Ir: 0.000 0.500 0.251 [4 per cell]
W: 0.000 0.000 0.500 [2 per cell]

- ΔE_f: -0.297 eV/atom
- VASP energy: -247.67 eV for the cell shown

---

Record 9
Below is Sm2Tm4Sc3 after structural relaxation, with properties calculated at the PBE level.

Unit cell a=15.482 b=11.246 c=5.997 alpha=90.00 beta=95.25 gamma=90.00
Space group C2/c (No. 15)
Asymmetric unit:
Sm: 0.119 0.145 0.324 [8 per cell]
Tm: 0.049 0.361 0.010 [8 per cell]
Tm: 0.216 0.139 0.844 [8 per cell]
Sc: 0.000 0.101 0.750 [4 per cell]
Sc: 0.166 0.401 0.588 [8 per cell]

- ΔE_f: 0.111 eV/atom
- VASP energy: -181.27 eV for the cell shown

---

Record 10
Below is TiGeOs after structural relaxation, with properties calculated at the PBE level.

Unit cell a=7.260 b=11.405 c=6.622 alpha=90.00 beta=90.00 gamma=90.00
Space group Ima2 (No. 46)
Asymmetric unit:
Ti: 0.250 0.001 0.000 [4 per cell]
Ti: 0.250 0.229 0.654 [4 per cell]
Ti: 0.250 0.695 0.119 [4 per cell]
Ge: 0.006 0.667 0.419 [8 per cell]
Ge: 0.250 0.039 0.410 [4 per cell]
Os: 0.000 0.000 0.669 [4 per cell]
Os: 0.042 0.626 0.791 [8 per cell]

- ΔE_f: -0.519 eV/atom
- VASP energy: -303.60 eV for the cell shown

---

Record 11
Below is ZnAs2 after structural relaxation, with properties calculated at the PBE level.

Unit cell a=4.9253 b=4.9253 c=5.5605 alpha=90.00 beta=90.00 gamma=120.00
Space group P6_3/mmc (No. 194)
Asymmetric unit:
Zn: 0.0000 0.0000 0.2500 [2 per cell]
As: 0.3333 0.6667 0.0266 [4 per cell]

- ΔE_f: 0.258 eV/atom
- VASP energy: -19.60 eV for the cell shown

---

Record 12
Below is NdZn2Sn after structural relaxation, with properties calculated at the PBE level.

Unit cell a=4.462 b=4.462 c=4.500 alpha=90.00 beta=90.00 gamma=90.00
Space group P4/mmm (No. 123)
Asymmetric unit:
Nd: 0.000 0.000 0.000 [1 per cell]
Zn: 0.000 0.500 0.500 [2 per cell]
Sn: 0.500 0.500 0.000 [1 per cell]

- ΔE_f: -0.382 eV/atom
- VASP energy: -12.85 eV for the cell shown

---

no.,magnetization (μB/atom)
1,0.000
2,0.000
3,0.000
4,0.000
5,0.000
6,0.000
7,0.000
8,0.000
9,0.000
10,0.000
11,0.000
12,0.000